# In24Sn5 (GGA-PBE, optimized geometry)
# - ΔE_f (eV per atom) = 0.042
# - spin magnetization (μB per formula unit) = 0.000
data_In24Sn5
_chemical_formula_sum 'In48 Sn10'
_symmetry_space_group_name_H-M 'I -4 3 m'
_symmetry_Int_Tables_number 217
_symmetry_space_group_name_Hall 'I -4 2 3'
_cell_length_a 11.704
_cell_length_b 11.704
_cell_length_c 11.704
_cell_angle_alpha 90.00
_cell_angle_beta 90.00
_cell_angle_gamma 90.00
loop_
_atom_site_label
_atom_site_type_symbol
_atom_site_fract_x
_atom_site_fract_y
_atom_site_fract_z
_atom_site_occupancy
In1 In 0.055 0.362 0.362 1
In2 In 0.096 0.096 0.289 1
Sn1 Sn 0.000 0.000 0.000 1
Sn2 Sn 0.158 0.158 0.842 1



# CrHS2 (GGA-PBE, optimized geometry)
# - excess energy over the best structure of this formula in the dataset (meV per atom) = 251.5
# - spin magnetization (μB per formula unit) = 2.430
data_CrHS2
_chemical_formula_sum 'Cr16 H16 S32'
_symmetry_space_group_name_H-M 'C 1 2/c 1'
_symmetry_Int_Tables_number 15
_cell_length_a 11.007
_cell_length_b 10.279
_cell_length_c 8.480
_cell_angle_alpha 90.00
_cell_angle_beta 101.04
_cell_angle_gamma 90.00
loop_
_symmetry_equiv_pos_as_xyz
'x,y,z'
'-x,-y,-z'
'-x,y,-z+1/2'
'x,-y,z+1/2'
'x+1/2,y+1/2,z'
'-x+1/2,-y+1/2,-z'
'-x+1/2,y+1/2,-z+1/2'
'x+1/2,-y+1/2,z+1/2'
loop_
_atom_site_label
_atom_site_type_symbol
_atom_site_fract_x
_atom_site_fract_y
_atom_site_fract_z
_atom_site_occupancy
Cr1 Cr 0.116 0.030 0.347 1
Cr2 Cr 0.191 0.299 0.797 1
H1 H 0.008 0.475 0.367 1
H2 H 0.203 0.071 0.200 1
S1 S 0.000 0.203 0.250 1
S2 S 0.000 0.433 0.750 1
S3 S 0.056 0.098 0.613 1
S4 S 0.214 0.378 0.065 1
S5 S 0.216 0.339 0.530 1



# Ho4MgTe2 (GGA-PBE, optimized geometry)
# - E_form (uncorrected) (meV/atom) = -557
# - spin magnetization (μB per formula unit) = 0.000
data_Ho4MgTe2
_chemical_formula_sum 'Ho32 Mg8 Te16'
_symmetry_space_group_name_H-M 'F d d d'
_symmetry_Int_Tables_number 70
_cell_length_a 9.382
_cell_length_b 12.713
_cell_length_c 14.513
_cell_angle_alpha 90.00
_cell_angle_beta 90.00
_cell_angle_gamma 90.00
loop_
_symmetry_equiv_pos_as_xyz
'x,y,z'
'-x,-y,-z'
'-x+1/4,-y+1/4,z'
'x+1/4,y+1/4,-z'
'x,-y+1/4,-z+1/4'
'-x,y+1/4,z+1/4'
'-x+1/4,y,-z+1/4'
'x+1/4,-y,z+1/4'
'x,y+1/2,z+1/2'
'-x,-y+1/2,-z+1/2'
'-x+1/4,-y+3/4,z+1/2'
'x+1/4,y+3/4,-z+1/2'
'x,-y+3/4,-z+3/4'
'-x,y+3/4,z+3/4'
'-x+1/4,y+1/2,-z+3/4'
'x+1/4,-y+1/2,z+3/4'
'x+1/2,y,z+1/2'
'-x+1/2,-y,-z+1/2'
'-x+3/4,-y+1/4,z+1/2'
'x+3/4,y+1/4,-z+1/2'
'x+1/2,-y+1/4,-z+3/4'
'-x+1/2,y+1/4,z+3/4'
'-x+3/4,y,-z+3/4'
'x+3/4,-y,z+3/4'
'x+1/2,y+1/2,z'
'-x+1/2,-y+1/2,-z'
'-x+3/4,-y+3/4,z'
'x+3/4,y+3/4,-z'
'x+1/2,-y+3/4,-z+1/4'
'-x+1/2,y+3/4,z+1/4'
'-x+3/4,y+1/2,-z+1/4'
'x+3/4,-y+1/2,z+1/4'
loop_
_atom_site_label
_atom_site_type_symbol
_atom_site_fract_x
_atom_site_fract_y
_atom_site_fract_z
_atom_site_occupancy
Ho1 Ho 0.067 0.267 0.456 1
Mg1 Mg 0.125 0.125 0.625 1
Te1 Te 0.000 0.000 0.000 1



# PaAl3Cu2 (GGA-PBE, optimized geometry)
# - ΔE_f (eV per atom) = -0.245
# - spin magnetization (μB per formula unit) = 0.000
data_PaAl3Cu2
_chemical_formula_sum 'Pa3 Al9 Cu6'
_symmetry_space_group_name_H-M 'P 6/m m m'
_symmetry_Int_Tables_number 191
_symmetry_space_group_name_Hall '-P 6 2'
_cell_length_a 9.2773
_cell_length_b 9.2773
_cell_length_c 4.0606
_cell_angle_alpha 90.00
_cell_angle_beta 90.00
_cell_angle_gamma 120.00
loop_
_atom_site_label
_atom_site_type_symbol
_atom_site_fract_x
_atom_site_fract_y
_atom_site_fract_z
_atom_site_occupancy
Pa1 Pa 0.0000 0.0000 0.0000 1
Pa2 Pa 0.3333 0.6667 0.5000 1
Al1 Al 0.0000 0.2820 0.5000 1
Al2 Al 0.0000 0.5000 0.0000 1
Cu1 Cu 0.1910 0.3820 0.0000 1



# MgTl6In (GGA-PBE, optimized geometry)
# - ΔE_f (eV per atom) = 0.037
# - excess energy over the best structure of this formula in the dataset (meV per atom) = 6.5
# - spin magnetization (μB per formula unit) = 0.000
data_MgTl6In
_chemical_formula_sum 'Mg1 Tl6 In1'
_symmetry_space_group_name_H-M 'P 4/m m m'
_symmetry_Int_Tables_number 123
_symmetry_space_group_name_Hall '-P 4 2'
_cell_length_a 4.909
_cell_length_b 4.909
_cell_length_c 9.628
_cell_angle_alpha 90.00
_cell_angle_beta 90.00
_cell_angle_gamma 90.00
loop_
_atom_site_label
_atom_site_type_symbol
_atom_site_fract_x
_atom_site_fract_y
_atom_site_fract_z
_atom_site_occupancy
Mg1 Mg 0.000 0.000 0.000 1
Tl1 Tl 0.000 0.500 0.244 1
Tl2 Tl 0.500 0.500 0.000 1
Tl3 Tl 0.500 0.500 0.500 1
In1 In 0.000 0.000 0.500 1



# Er2Pu3NbN6 (GGA-PBE, optimized geometry)
# - E_form (uncorrected) (meV/atom) = -1399
# - spin magnetization (μB per formula unit) = 13.968
data_Er2Pu3NbN6
_chemical_formula_sum 'Er4 Pu6 Nb2 N12'
_symmetry_space_group_name_H-M 'C 1 2/m 1'
_symmetry_Int_Tables_number 12
_cell_length_a 5.889
_cell_length_b 10.192
_cell_length_c 5.849
_cell_angle_alpha 90.00
_cell_angle_beta 109.57
_cell_angle_gamma 90.00
loop_
_symmetry_equiv_pos_as_xyz
'x,y,z'
'-x,-y,-z'
'-x,y,-z'
'x,-y,z'
'x+1/2,y+1/2,z'
'-x+1/2,-y+1/2,-z'
'-x+1/2,y+1/2,-z'
'x+1/2,-y+1/2,z'
loop_
_atom_site_label
_atom_site_type_symbol
_atom_site_fract_x
_atom_site_fract_y
_atom_site_fract_z
_atom_site_occupancy
Er1 Er 0.000 0.167 0.000 1
Pu1 Pu 0.000 0.000 0.500 1
Pu2 Pu 0.000 0.333 0.500 1
Nb1 Nb 0.000 0.500 0.000 1
N1 N 0.237 0.500 0.756 1
N2 N 0.239 0.341 0.241 1